1.
Density functional theory data (PBE) for a geometry-optimized CaZn2BRh2 structure.

```
CaZn2BRh2
1.0
-2.4562 2.2212 2.4969
-2.9625 -2.8813 -0.3510
2.1102 -2.7171 4.4929
Rh Zn Ca B
2 2 1 1
Direct
0.0000 0.5000 0.0000
0.5000 0.0000 0.0000
0.5000 0.5000 0.7215
0.5000 0.5000 0.2785
0.0000 0.0000 0.5000
0.0000 0.0000 0.0000
```

Computed properties:
The formation energy comes out at -0.47 eV per atom. The calculation puts the total magnetization at 0.000 μB/cell. The density comes out at 6.611 g/cm3.

***

2.
Density functional theory data (PBE) for a geometry-optimized YRe3Sn structure.

```
YRe3Sn
1.0
-4.4761 1.7026 -0.9671
-1.6890 -2.1362 4.0563
0.9907 4.0506 2.5457
Sn Re Y
1 3 1
Direct
0.0000 0.0000 0.0000
0.0000 0.5000 0.0000
0.0000 0.0000 0.5000
0.5000 0.0000 0.0000
0.5000 0.5000 0.5000
```

Computed properties:
Its energy above the most stable polymorph in this dataset is 0.000 eV/atom. The formation energy comes out at 1.97 eV per atom. The calculation puts the total magnetization at 2.562 μB/cell. The density comes out at 10.910 g/cm3.

***

Which formula does entry 2 have? YRe3Sn

***

Number 2 is which compound? YRe3Sn

***

Copy entry 2 word for word.
Density functional theory data (PBE) for a geometry-optimized YRe3Sn structure.

```
YRe3Sn
1.0
-4.4761 1.7026 -0.9671
-1.6890 -2.1362 4.0563
0.9907 4.0506 2.5457
Sn Re Y
1 3 1
Direct
0.0000 0.0000 0.0000
0.0000 0.5000 0.0000
0.0000 0.0000 0.5000
0.5000 0.0000 0.0000
0.5000 0.5000 0.5000
```

Computed properties:
Its energy above the most stable polymorph in this dataset is 0.000 eV/atom. The formation energy comes out at 1.97 eV per atom. The calculation puts the total magnetization at 2.562 μB/cell. The density comes out at 10.910 g/cm3.

***

Repeat the second record exactly.
Density functional theory data (PBE) for a geometry-optimized YRe3Sn structure.

```
YRe3Sn
1.0
-4.4761 1.7026 -0.9671
-1.6890 -2.1362 4.0563
0.9907 4.0506 2.5457
Sn Re Y
1 3 1
Direct
0.0000 0.0000 0.0000
0.0000 0.5000 0.0000
0.0000 0.0000 0.5000
0.5000 0.0000 0.0000
0.5000 0.5000 0.5000
```

Computed properties:
Its energy above the most stable polymorph in this dataset is 0.000 eV/atom. The formation energy comes out at 1.97 eV per atom. The calculation puts the total magnetization at 2.562 μB/cell. The density comes out at 10.910 g/cm3.